Record 1
Density functional theory data (PBE) for crystalline Tb3Te2Se at its relaxed geometry.

abc: 4.2544 6.0190 13.0687
angles: 90.00 90.00 90.00
Last column: nearest neighbours and their distance in Å.
Space group Immm (No. 71)
One atom of each set of equivalent atoms:
Tb 0.0000 0.0000 0.0000 x2  2 Se 3.01, 4 Te 3.12
Tb 0.0000 0.0000 0.3567 x4  2 Se 2.83, 2 Te 3.04
Te 0.0000 0.5000 0.3250 x4  6 Tb 3.04-3.19
Se 0.0000 0.5000 0.0000 x2  6 Tb 2.83-3.01

ΔE_f (raw): -1458 meV/atom

=====

Record 2
Density functional theory data (PBE) for crystalline Tb4Te3Se at its relaxed geometry.

abc: 8.6707 12.2202 4.2832
angles: 90.00 90.00 90.00
Last column: nearest neighbours and their distance in Å.
Space group Cmmm (No. 65)
One atom of each set of equivalent atoms:
Tb 0.0000 0.2329 0.0000 x4  1 Se 2.85, 4 Te 3.05
Tb 0.2224 0.0000 0.5000 x4  2 Se 2.88, 4 Te 3.06-3.22
Te 0.0000 0.5000 0.0000 x2  6 Tb 3.22-3.26
Te 0.2500 0.2500 0.5000 x4  6 Tb 3.05-3.06
Se 0.0000 0.0000 0.0000 x2  6 Tb 2.85-2.88

ΔE_f (raw): -1428 meV/atom

=====

Record 3
Density functional theory data (PBE) for crystalline Tb5TeSe4 at its relaxed geometry.

abc: 13.8451 4.1361 10.1834
angles: 90.00 119.77 90.00
Last column: nearest neighbours and their distance in Å.
Space group C2/m (No. 12)
One atom of each set of equivalent atoms:
Tb 0.0000 0.0000 0.0000 x2  6 Se 2.92-2.93
Tb 0.1130 0.5000 0.3930 x4  4 Se 2.86-2.93, 2 Te 3.10
Tb 0.2092 0.0000 0.8153 x4  5 Se 2.87-2.95, 1 Te 3.08
Te 0.0000 0.0000 0.5000 x2  6 Tb 3.08-3.10
Se 0.0938 0.5000 0.8926 x4  6 Tb 2.87-2.95
Se 0.2042 0.0000 0.2937 x4  6 Tb 2.86-2.93

Offset from the most stable computed form: 0.000 eV/atom
ΔE_f (raw): -1674 meV/atom

=====

Record 4
Density functional theory data (PBE) for crystalline Tb4TeSe5 at its relaxed geometry.

abc: 18.0879 4.1793 8.6332
angles: 90.00 106.69 90.00
Last column: nearest neighbours and their distance in Å.
Space group C2/m (No. 12)
One atom of each set of equivalent atoms:
Tb 0.0058 0.0000 0.2738 x4  4 Se 2.76-2.90
Tb 0.1845 0.5000 0.1254 x4  5 Se 2.81-2.96
Te 0.0000 0.5000 0.0000 x2  6 Tb 3.13-3.20
Se 0.0000 0.5000 0.5000 x2  4 Tb 2.88
Se 0.1599 0.0000 0.8733 x4  4 Tb 2.81-2.96
Se 0.1642 0.0000 0.3307 x4  3 Tb 2.76-2.83

ΔE_f (raw): -1730 meV/atom

=====

Record 5
Density functional theory data (PBE) for crystalline Tb5TeSe4 at its relaxed geometry.

abc: 4.1551 4.1551 29.4226
angles: 90.00 90.00 90.00
Last column: nearest neighbours and their distance in Å.
Space group I4/mmm (No. 139)
One atom of each set of equivalent atoms:
Tb 0.0000 0.0000 0.0000 x2  2 Se 2.93, 4 Te 2.94
Tb 0.0000 0.0000 0.1969 x4  6 Se 2.87-2.94
Tb 0.0000 0.0000 0.3943 x4  5 Se 2.88-2.94, 1 Te 3.11
Te 0.0000 0.0000 0.5000 x2  6 Tb 2.94-3.11
Se 0.0000 0.0000 0.0995 x4  6 Tb 2.87-2.94
Se 0.0000 0.0000 0.2966 x4  6 Tb 2.88-2.94

Offset from the most stable computed form: 0.023 eV/atom
ΔE_f (raw): -1651 meV/atom

=====

Record 6
Density functional theory data (PBE) for crystalline Tb5Te5Se at its relaxed geometry.

abc: 13.5907 6.1165 8.5911
angles: 90.00 108.64 90.00
Last column: nearest neighbours and their distance in Å.
Space group C2/m (No. 12)
One atom of each set of equivalent atoms:
Tb 0.0000 0.0000 0.0000 x2  2 Se 3.06, 4 Te 3.06-3.07
Tb 0.1566 0.5000 0.3192 x4  1 Se 2.88, 5 Te 3.01-3.14
Tb 0.1613 0.5000 0.8409 x4  1 Se 2.93, 5 Te 3.05-3.17
Te 0.0000 0.5000 0.5000 x2  4 Tb 3.01-3.05
Te 0.1615 0.0000 0.8201 x4  5 Tb 3.06-3.13
Te 0.1680 0.0000 0.3385 x4  5 Tb 3.06-3.17
Se 0.0000 0.5000 0.0000 x2  6 Tb 2.88-3.06

ΔE_f (raw): -1467 meV/atom

=====

Record 7
Density functional theory data (PBE) for crystalline Tb4Te5Se2 at its relaxed geometry.

abc: 27.8284 4.2027 7.1412
angles: 90.00 90.95 90.00
Last column: nearest neighbours and their distance in Å.
Space group C2/m (No. 12)
One atom of each set of equivalent atoms:
Tb 0.0552 0.0000 0.2722 x4  2 Se 2.81, 3 Te 2.99-3.08
Tb 0.1718 0.5000 0.1120 x4  1 Se 2.80, 4 Te 3.06-3.12
Te 0.0000 0.5000 0.5000 x2  4 Tb 3.08
Te 0.1568 0.0000 0.4174 x4  3 Tb 2.99-3.06
Te 0.2149 0.0000 0.8389 x4  3 Tb 3.12-3.17, 1 Te 3.39
Se 0.0737 0.5000 0.0215 x4  3 Tb 2.80-2.81

ΔE_f (raw): -1235 meV/atom

=====

Record 8
Density functional theory data (PBE) for crystalline Tb4Te3Se at its relaxed geometry.

abc: 4.2922 4.2922 42.5555
angles: 90.00 90.00 120.00
Last column: nearest neighbours and their distance in Å.
Space group R-3m (No. 166, hexagonal axes)
One atom of each set of equivalent atoms:
Tb 0.0000 0.0000 0.1253 x6  6 Te 3.04-3.13
Tb 0.0000 0.0000 0.3677 x6  3 Se 2.88, 3 Te 3.16
Te 0.0000 0.0000 0.2530 x6  6 Tb 3.13-3.16
Te 0.0000 0.0000 0.5000 x3  6 Tb 3.04
Se 0.0000 0.0000 0.0000 x3  6 Tb 2.88

ΔE_f (raw): -1428 meV/atom

=====

Record 9
Density functional theory data (PBE) for crystalline Tb2TeSe at its relaxed geometry.

abc: 4.1187 4.1187 21.9352
angles: 90.00 90.00 120.00
Last column: nearest neighbours and their distance in Å.
Space group R3m (No. 160, hexagonal axes)
One atom of each set of equivalent atoms:
Tb 0.0000 0.0000 0.0000 x3  3 Se 2.89, 3 Te 3.15
Tb 0.0000 0.0000 0.1874 x3  3 Se 2.84, 3 Te 3.13
Te 0.0000 0.0000 0.7611 x3  6 Tb 3.13-3.15
Se 0.0000 0.0000 0.5918 x3  6 Tb 2.84-2.89

Offset from the most stable computed form: 0.000 eV/atom
ΔE_f (raw): -1587 meV/atom

=====

Record 10
Density functional theory data (PBE) for crystalline Tb8TeSe6 at its relaxed geometry.

abc: 10.5308 10.5308 4.1223
angles: 90.00 90.00 120.00
Last column: nearest neighbours and their distance in Å.
Space group P-3 (No. 147)
One atom of each set of equivalent atoms:
Tb 0.0365 0.7094 0.2587 x6  4 Se 2.79-3.02
Tb 0.3333 0.6667 0.7468 x2  6 Se 2.90
Te 0.0000 0.0000 0.5000 x1  6 Tb 3.42
Se 0.1310 0.4823 0.2461 x6  6 Tb 2.79-3.02

ΔE_f (raw): -1382 meV/atom

=====

Record 11
Density functional theory data (PBE) for crystalline Tb8Te3Se4 at its relaxed geometry.

abc: 11.8800 11.9007 8.3959
angles: 90.00 134.92 90.00
Last column: nearest neighbours and their distance in Å.
Space group C2/m (No. 12)
One atom of each set of equivalent atoms:
Tb 0.0000 0.2347 0.0000 x4  3 Se 2.79-2.98, 2 Te 2.98
Tb 0.0000 0.2586 0.5000 x4  3 Se 2.87-2.97, 2 Te 2.97
Tb 0.2462 0.0000 0.0138 x4  4 Se 2.84-2.98, 1 Te 3.10
Tb 0.2470 0.0000 0.4752 x4  2 Se 2.83-2.86, 3 Te 2.98-3.12
Te 0.0000 0.5000 0.0000 x2  6 Tb 3.10-3.16
Te 0.2500 0.2500 0.5000 x4  6 Tb 2.97-2.98
Se 0.0000 0.0000 0.0000 x2  6 Tb 2.79-2.84
Se 0.0000 0.5000 0.5000 x2  6 Tb 2.86-2.89
Se 0.2500 0.2500 0.0000 x4  6 Tb 2.97-2.98

ΔE_f (raw): -1408 meV/atom

=====

Record 12
Density functional theory data (PBE) for crystalline Tb2TeSe2 at its relaxed geometry.

abc: 5.4119 7.8140 8.2631
angles: 83.58 70.90 69.82
Last column: nearest neighbours and their distance in Å.
Space group P-1 (No. 2)
One atom of each set of equivalent atoms:
Tb 0.0071 0.4862 0.2498 x2  4 Se 2.80-2.96
Tb 0.2423 0.0138 0.2496 x2  4 Se 2.80-2.96
Te 0.3751 0.7500 0.7506 x2  4 Tb 3.21
Se 0.0286 0.7501 0.4430 x2  4 Tb 2.80-2.96
Se 0.2786 0.2500 0.9422 x2  4 Tb 2.80-2.96

Offset from the most stable computed form: 0.330 eV/atom
ΔE_f (raw): -1399 meV/atom

=====

Record 13
Density functional theory data (PBE) for crystalline Tb5TeSe5 at its relaxed geometry.

abc: 13.0187 5.8725 8.2771
angles: 90.00 108.07 90.00
Last column: nearest neighbours and their distance in Å.
Space group C2/m (No. 12)
One atom of each set of equivalent atoms:
Tb 0.0000 0.0000 0.0000 x2  4 Se 2.91-2.93, 2 Te 2.94
Tb 0.1669 0.5000 0.8185 x4  5 Se 2.85-2.97, 1 Te 3.00
Tb 0.1703 0.5000 0.3480 x4  5 Se 2.85-2.94, 1 Te 3.04
Te 0.0000 0.5000 0.0000 x2  6 Tb 2.94-3.04
Se 0.0000 0.5000 0.5000 x2  4 Tb 2.85-2.87
Se 0.1609 0.0000 0.3347 x4  5 Tb 2.85-2.94
Se 0.1709 0.0000 0.8382 x4  5 Tb 2.93-2.97

ΔE_f (raw): -1748 meV/atom

=====

Record 14
Density functional theory data (PBE) for crystalline Tb2TeSe at its relaxed geometry.

abc: 4.2270 4.2270 20.9049
angles: 90.00 90.00 120.00
Last column: nearest neighbours and their distance in Å.
Space group R-3m (No. 166, hexagonal axes)
One atom of each set of equivalent atoms:
Tb 0.0000 0.0000 0.2381 x6  3 Se 2.86, 3 Te 3.15
Te 0.0000 0.0000 0.0000 x3  6 Tb 3.15
Se 0.0000 0.0000 0.5000 x3  6 Tb 2.86

Offset from the most stable computed form: 0.027 eV/atom
ΔE_f (raw): -1560 meV/atom

=====

Record 15
Density functional theory data (PBE) for crystalline Tb3Te2Se at its relaxed geometry.

abc: 4.2667 4.2667 10.5735
angles: 90.00 90.00 120.00
Last column: nearest neighbours and their distance in Å.
Space group P-3m1 (No. 164)
One atom of each set of equivalent atoms:
Tb 0.0000 0.0000 0.0000 x1  6 Te 3.09
Tb 0.3333 0.6667 0.6424 x2  3 Se 2.89, 3 Te 3.12
Te 0.3333 0.6667 0.1764 x2  6 Tb 3.09-3.12
Se 0.0000 0.0000 0.5000 x1  6 Tb 2.89

ΔE_f (raw): -1459 meV/atom

=====

Record 16
Density functional theory data (PBE) for crystalline Tb3TeSe2 at its relaxed geometry.

abc: 4.1944 5.9332 12.5735
angles: 90.00 90.00 90.00
Last column: nearest neighbours and their distance in Å.
Space group Immm (No. 71)
One atom of each set of equivalent atoms:
Tb 0.0000 0.0000 0.0000 x2  4 Se 2.92, 2 Te 2.97
Tb 0.0000 0.0000 0.3170 x4  4 Se 2.87-2.98, 2 Te 3.11
Te 0.0000 0.5000 0.0000 x2  6 Tb 2.97-3.11
Se 0.0000 0.5000 0.3385 x4  6 Tb 2.87-2.98

Offset from the most stable computed form: 0.000 eV/atom
ΔE_f (raw): -1594 meV/atom

=====

Record 17
Density functional theory data (PBE) for crystalline Tb5Te4Se at its relaxed geometry.

abc: 4.2522 4.2522 31.6863
angles: 90.00 90.00 90.00
Last column: nearest neighbours and their distance in Å.
Space group I4/mmm (No. 139)
One atom of each set of equivalent atoms:
Tb 0.0000 0.0000 0.0000 x2  4 Se 3.01, 2 Te 3.23
Tb 0.0000 0.0000 0.2122 x4  5 Te 3.09-3.10
Tb 0.0000 0.0000 0.4130 x4  1 Se 2.76, 4 Te 3.04
Te 0.0000 0.0000 0.1021 x4  5 Tb 3.04-3.23
Te 0.0000 0.0000 0.3101 x4  6 Tb 3.09-3.26
Se 0.0000 0.0000 0.5000 x2  6 Tb 2.76-3.01

ΔE_f (raw): -1404 meV/atom

=====

Record 18
Density functional theory data (PBE) for crystalline Tb4TeSe3 at its relaxed geometry.

abc: 4.1159 4.1159 27.8695
angles: 90.00 90.00 120.00
Last column: nearest neighbours and their distance in Å.
Space group P6_3/mmc (No. 194)
One atom of each set of equivalent atoms:
Tb 0.0000 0.0000 0.1767 x4  3 Se 2.86, 3 Te 3.13
Tb 0.3333 0.6667 0.0630 x4  6 Se 2.85-2.95
Te 0.3333 0.6667 0.2500 x2  6 Tb 3.13
Se 0.0000 0.0000 0.0000 x2  6 Tb 2.95
Se 0.3333 0.6667 0.6196 x4  6 Tb 2.85-2.86

Offset from the most stable computed form: 0.000 eV/atom
ΔE_f (raw): -1681 meV/atom

=====

Record 19
Density functional theory data (PBE) for crystalline Tb5Te5Se2 at its relaxed geometry.

abc: 14.1843 4.2163 12.7830
angles: 90.00 105.57 90.00
Last column: nearest neighbours and their distance in Å.
Space group C2/m (No. 12)
One atom of each set of equivalent atoms:
Tb 0.0000 0.0000 0.0000 x2  2 Se 2.88, 4 Te 3.07
Tb 0.1089 0.0000 0.4088 x4  1 Se 2.83, 4 Te 3.03-3.10
Tb 0.1850 0.5000 0.8057 x4  2 Se 2.93, 5 Te 3.20-3.24
Te 0.0000 0.5000 0.5000 x2  4 Tb 3.03
Te 0.1638 0.5000 0.0517 x4  5 Tb 3.07-3.24
Te 0.2478 0.5000 0.3528 x4  5 Tb 3.10-3.24
Se 0.0390 0.0000 0.7905 x4  4 Tb 2.83-2.93

ΔE_f (raw): -1523 meV/atom

=====

Record 20
Density functional theory data (PBE) for crystalline Tb2TeSe at its relaxed geometry.

abc: 6.0029 5.9978 12.0085
angles: 90.00 90.00 90.00
Last column: nearest neighbours and their distance in Å.
Space group Pmna (No. 53)
One atom of each set of equivalent atoms:
Tb 0.0000 0.2490 0.1170 x4  3 Se 2.89-3.00, 3 Te 3.00-3.12
Tb 0.0000 0.2501 0.6374 x4  3 Se 2.87-3.01, 3 Te 3.00-3.12
Te 0.0000 0.2498 0.3772 x4  6 Tb 3.00-3.12
Se 0.0000 0.2508 0.8766 x4  6 Tb 2.87-3.01

Offset from the most stable computed form: 0.083 eV/atom
ΔE_f (raw): -1503 meV/atom